The following is a PBE calculation of crystalline CaLa2CdOs at its relaxed geometry, from Alexandria.

Cell: 5.4925 5.4925 5.7177 Å, 90.00 90.00 90.00°
Last column: nearest neighbours and their distance in Å.
Fractional positions:
Ca (0.0000, 0.0000, 0.0000)  2 Os 2.86
La (0.0000, 0.5000, 0.5000)  2 Os 2.75
La (0.5000, 0.0000, 0.5000)  2 Os 2.75
Cd (0.5000, 0.5000, 0.0000)  4 Ca 3.88, 8 La 3.96
Os (0.0000, 0.0000, 0.5000)  4 La 2.75, 2 Ca 2.86

Calculated values
Density   5.97 g/cm3
Space-group type   P4/mmm, No. 123
E   -4.88 eV per atom